Record 1
Na2MgHgI6 | PBE | optimized geometry

Computed properties:
**Space group**: P1 (1)
**ΔE_f (raw)**: -0.8540 eV per atom

Lattice parameters (Å, degrees): 7.897 7.908 8.747 63.09 63.10 59.95
Sites, in units of the cell vectors:
Mg: 0.818 0.819 0.546
I: 0.216 0.923 0.236
I: 0.087 0.455 0.709
I: 0.749 0.087 0.710
I: 0.454 0.749 0.710
I: 0.625 0.214 0.236
I: 0.924 0.625 0.235
Na: 0.505 0.505 0.485
Na: 0.035 0.036 0.895
Hg: 0.249 0.249 0.252

Record 2
NdMnSi2Pt5 | PBE | optimized geometry

Computed properties:
**Space group**: P4/mmm (123)
**ΔE_f (raw)**: -0.6586 eV per atom

Lattice parameters (Å, degrees): 4.094 4.094 10.413 90.00 90.00 90.00
Sites, in units of the cell vectors:
Si: 0.500 0.500 0.725
Si: 0.500 0.500 0.275
Pt: 0.500 0.500 0.500
Pt: 0.000 0.500 0.160
Pt: 0.500 0.000 0.840
Pt: 0.000 0.500 0.840
Pt: 0.500 0.000 0.160
Mn: 0.000 0.000 0.000
Nd: 0.000 0.000 0.500

Record 3
Tl3HgH | PBE | optimized geometry

Computed properties:
**Space group**: Pm-3m (221)
**Energy above the lowest structure with this stoichiometry**: 41 meV/atom

Lattice parameters (Å, degrees): 5.011 5.011 5.011 90.00 90.00 90.00
Sites, in units of the cell vectors:
Tl: 0.000 0.000 0.500
Tl: 0.500 0.000 0.000
Tl: 0.000 0.500 0.000
Hg: 0.500 0.500 0.500
H: 0.000 0.000 0.000

Record 4
InFeSb2 | PBE | optimized geometry

Computed properties:
**Space group**: I4/mmm (139)
**ΔE_f (raw)**: 0.4769 eV per atom

Lattice parameters (Å, degrees): 5.259 5.259 5.259 126.26 126.26 79.46
Sites, in units of the cell vectors:
In: 0.750 0.250 0.500
Fe: 0.250 0.750 0.500
Sb: 0.000 0.000 0.000
Sb: 0.500 0.500 0.000

Record 5
KLi2Au | PBE | optimized geometry

Computed properties:
**Space group**: Pmm2 (25)
**E_tot**: -2.24 eV per atom

Lattice parameters (Å, degrees): 3.615 3.603 8.064 90.00 90.00 90.00
Sites, in units of the cell vectors:
K: 0.500 0.500 0.709
Au: 0.000 0.000 0.410
Li: 0.000 0.000 0.083
Li: 0.500 0.500 0.298

Record 6
NbRe2TeW | PBE | optimized geometry

Computed properties:
**Space group**: P4/mmm (123)
**ΔE_f (raw)**: 2.0687 eV per atom

Lattice parameters (Å, degrees): 4.756 4.984 4.756 90.00 90.00 90.00
Sites, in units of the cell vectors:
Nb: 0.500 0.500 0.500
W: 0.000 0.000 0.000
Te: 0.000 0.500 0.000
Re: 0.500 0.000 0.000
Re: 0.000 0.000 0.500

| no. | V (Å³ per atom) | size of the total moment (μB/atom) |
| --- | --- | --- |
| 1 | 40.319 | 0.00 |
| 2 | 19.394 | 0.50 |
| 3 | 25.166 | 0.00 |
| 4 | 22.846 | 0.63 |
| 5 | 26.251 | 0.00 |
| 6 | 22.549 | 0.00 |